Density functional theory data (GGA-PBE) for a relaxed SnHg2Sb crystal.

Summary:
Polymorph energy (0 for the lowest one), eV per atom: 0.1018
Calculated total energy, eV/cell: -8.2
Formation energy (no corrections), eV per formula unit: 0.569

Cell and atoms, written as CIF:
```
data_SnHg2Sb
_cell_length_a 3.4753
_cell_length_b 3.4753
_cell_length_c 8.7069
_cell_angle_alpha 90.00
_cell_angle_beta 90.00
_cell_angle_gamma 90.00
_space_group_name_H-M_alt 'P 4/m m m'
_space_group_IT_number 123
_space_group_name_Hall '-P 4 2'
loop_
_atom_site_label
_atom_site_type_symbol
_atom_site_fract_x
_atom_site_fract_y
_atom_site_fract_z
Sn1 Sn 0.0000 0.0000 0.0000
Hg1 Hg 0.5000 0.5000 0.2461
Sb1 Sb 0.0000 0.0000 0.5000
```


Density functional theory data (GGA-PBE) for a relaxed Sn2Hg2Sb crystal.

Summary:
Polymorph energy (0 for the lowest one), eV per atom: 0.0497
Calculated total energy, eV/cell: -24.3
Formation energy (no corrections), eV per formula unit: 0.560

Cell and atoms, written as CIF:
```
data_Sn2Hg2Sb
_cell_length_a 4.1332
_cell_length_b 4.1332
_cell_length_c 16.9398
_cell_angle_alpha 90.00
_cell_angle_beta 90.00
_cell_angle_gamma 90.00
_space_group_name_H-M_alt 'I 4/m m m'
_space_group_IT_number 139
_space_group_name_Hall '-I 4 2'
loop_
_atom_site_label
_atom_site_type_symbol
_atom_site_fract_x
_atom_site_fract_y
_atom_site_fract_z
Sn1 Sn 0.0000 0.0000 0.0920
Hg1 Hg 0.0000 0.5000 0.2500
Sb1 Sb 0.0000 0.0000 0.5000
```


Density functional theory data (GGA-PBE) for a relaxed Sn2HgSb crystal.

Summary:
Polymorph energy (0 for the lowest one), eV per atom: 0.0674
Calculated total energy, eV/cell: -48.1
Formation energy (no corrections), eV per formula unit: 0.393

Cell and atoms, written as CIF:
```
data_Sn2HgSb
_cell_length_a 6.7749
_cell_length_b 6.7749
_cell_length_c 12.7832
_cell_angle_alpha 90.00
_cell_angle_beta 90.00
_cell_angle_gamma 90.00
_space_group_name_H-M_alt 'I -4 2 d'
_space_group_IT_number 122
_space_group_name_Hall 'I -4 2bw'
loop_
_atom_site_label
_atom_site_type_symbol
_atom_site_fract_x
_atom_site_fract_y
_atom_site_fract_z
Sn1 Sn 0.2409 0.2500 0.1250
Hg1 Hg 0.0000 0.0000 0.0000
Sb1 Sb 0.0000 0.0000 0.5000
```


Density functional theory data (GGA-PBE) for a relaxed SnHgSb crystal.

Summary:
Polymorph energy (0 for the lowest one), eV per atom: 0.0421
Calculated total energy, eV/cell: -16.4
Formation energy (no corrections), eV per formula unit: 0.228

Cell and atoms, written as CIF:
```
data_SnHgSb
_cell_length_a 3.1115
_cell_length_b 3.1115
_cell_length_c 17.8594
_cell_angle_alpha 90.00
_cell_angle_beta 90.00
_cell_angle_gamma 90.00
_space_group_name_H-M_alt 'I 4 m m'
_space_group_IT_number 107
_space_group_name_Hall 'I 4 -2'
loop_
_atom_site_label
_atom_site_type_symbol
_atom_site_fract_x
_atom_site_fract_y
_atom_site_fract_z
Sn1 Sn 0.0000 0.0000 0.0000
Hg1 Hg 0.0000 0.0000 0.3445
Sb1 Sb 0.0000 0.0000 0.1706
```


Density functional theory data (GGA-PBE) for a relaxed TcSn2HgSb crystal.

Summary:
Calculated total energy, eV/cell: -17.6
Formation energy (no corrections), eV per formula unit: 5.213

Cell and atoms, written as CIF:
```
data_TcSn2HgSb
_cell_length_a 5.7991
_cell_length_b 5.7991
_cell_length_c 5.0861
_cell_angle_alpha 90.00
_cell_angle_beta 90.00
_cell_angle_gamma 90.00
_space_group_name_H-M_alt 'P 4/m m m'
_space_group_IT_number 123
_space_group_name_Hall '-P 4 2'
loop_
_atom_site_label
_atom_site_type_symbol
_atom_site_fract_x
_atom_site_fract_y
_atom_site_fract_z
Tc1 Tc 0.0000 0.0000 0.0000
Sn1 Sn 0.0000 0.5000 0.5000
Hg1 Hg 0.5000 0.5000 0.0000
Sb1 Sb 0.0000 0.0000 0.5000
```


Density functional theory data (GGA-PBE) for a relaxed SnHgSbTe2 crystal.

Summary:
Polymorph energy (0 for the lowest one), eV per atom: 0.0000
Calculated total energy, eV/cell: -13.1
Formation energy (no corrections), eV per formula unit: 1.648

Cell and atoms, written as CIF:
```
data_SnHgSbTe2
_cell_length_a 5.8770
_cell_length_b 5.8770
_cell_length_c 5.4078
_cell_angle_alpha 90.00
_cell_angle_beta 90.00
_cell_angle_gamma 90.00
_space_group_name_H-M_alt 'P 4/m m m'
_space_group_IT_number 123
_space_group_name_Hall '-P 4 2'
loop_
_atom_site_label
_atom_site_type_symbol
_atom_site_fract_x
_atom_site_fract_y
_atom_site_fract_z
Sn1 Sn 0.0000 0.0000 0.0000
Hg1 Hg 0.5000 0.5000 0.0000
Sb1 Sb 0.5000 0.5000 0.5000
Te1 Te 0.0000 0.5000 0.5000
```


Density functional theory data (GGA-PBE) for a relaxed SnHgSbTe2 crystal.

Summary:
Polymorph energy (0 for the lowest one), eV per atom: 0.1666
Calculated total energy, eV/cell: -12.2
Formation energy (no corrections), eV per formula unit: 2.481

Cell and atoms, written as CIF:
```
data_SnHgSbTe2
_cell_length_a 5.7547
_cell_length_b 5.7547
_cell_length_c 5.7680
_cell_angle_alpha 90.00
_cell_angle_beta 90.00
_cell_angle_gamma 90.00
_space_group_name_H-M_alt 'P 4/m m m'
_space_group_IT_number 123
_space_group_name_Hall '-P 4 2'
loop_
_atom_site_label
_atom_site_type_symbol
_atom_site_fract_x
_atom_site_fract_y
_atom_site_fract_z
Sn1 Sn 0.0000 0.0000 0.0000
Hg1 Hg 0.5000 0.5000 0.5000
Sb1 Sb 0.0000 0.0000 0.5000
Te1 Te 0.0000 0.5000 0.0000
```


Density functional theory data (GGA-PBE) for a relaxed Tl2SnHgSb2 crystal.

Summary:
Calculated total energy, eV/cell: -68.2
Formation energy (no corrections), eV per formula unit: 0.224

Cell and atoms, written as CIF:
```
data_Tl2SnHgSb2
_cell_length_a 7.2610
_cell_length_b 14.6550
_cell_length_c 7.4893
_cell_angle_alpha 90.00
_cell_angle_beta 90.00
_cell_angle_gamma 90.00
_space_group_name_H-M_alt 'I b a m'
_space_group_IT_number 72
_space_group_name_Hall '-I 2 2c'
loop_
_atom_site_label
_atom_site_type_symbol
_atom_site_fract_x
_atom_site_fract_y
_atom_site_fract_z
Tl1 Tl 0.2258 0.1643 0.0000
Sn1 Sn 0.0000 0.5000 0.2500
Hg1 Hg 0.0000 0.0000 0.2500
Sb1 Sb 0.2450 0.3915 0.0000
```


Density functional theory data (GGA-PBE) for a relaxed TlSn2HgSb crystal.

Summary:
Calculated total energy, eV/cell: -57.7
Formation energy (no corrections), eV per formula unit: 0.378

Cell and atoms, written as CIF:
```
data_TlSn2HgSb
_cell_length_a 6.4459
_cell_length_b 15.1220
_cell_length_c 6.3549
_cell_angle_alpha 90.00
_cell_angle_beta 90.00
_cell_angle_gamma 90.00
_space_group_name_H-M_alt 'C m c m'
_space_group_IT_number 63
_space_group_name_Hall '-C 2c 2'
loop_
_atom_site_label
_atom_site_type_symbol
_atom_site_fract_x
_atom_site_fract_y
_atom_site_fract_z
Tl1 Tl 0.0000 0.2481 0.2500
Sn1 Sn 0.2482 0.0000 0.0000
Hg1 Hg 0.0000 0.3495 0.7500
Sb1 Sb 0.0000 0.1502 0.7500
```


Density functional theory data (GGA-PBE) for a relaxed Tl2SnHg2Sb crystal.

Summary:
Calculated total energy, eV/cell: -53.4
Formation energy (no corrections), eV per formula unit: 0.111

Cell and atoms, written as CIF:
```
data_Tl2SnHg2Sb
_cell_length_a 17.9241
_cell_length_b 6.7258
_cell_length_c 6.0073
_cell_angle_alpha 90.00
_cell_angle_beta 90.00
_cell_angle_gamma 90.00
_space_group_name_H-M_alt 'C m c 21'
_space_group_IT_number 36
loop_
_space_group_symop_operation_xyz
'x,y,z'
'-x,-y,z+1/2'
'-x,y,z'
'x,-y,z+1/2'
'x+1/2,y+1/2,z'
'-x+1/2,-y+1/2,z+1/2'
'-x+1/2,y+1/2,z'
'x+1/2,-y+1/2,z+1/2'
loop_
_atom_site_label
_atom_site_type_symbol
_atom_site_fract_x
_atom_site_fract_y
_atom_site_fract_z
Tl1 Tl 0.1714 0.1336 0.0000
Sn1 Sn 0.0000 0.1632 0.6532
Hg1 Hg 0.1486 0.3860 0.5246
Sb1 Sb 0.0000 0.2765 0.1472
```


Density functional theory data (GGA-PBE) for a relaxed VSn2HgSb crystal.

Summary:
Calculated total energy, eV/cell: -16.6
Formation energy (no corrections), eV per formula unit: 4.937

Cell and atoms, written as CIF:
```
data_VSn2HgSb
_cell_length_a 5.7776
_cell_length_b 5.7776
_cell_length_c 4.9996
_cell_angle_alpha 90.00
_cell_angle_beta 90.00
_cell_angle_gamma 90.00
_space_group_name_H-M_alt 'P 4/m m m'
_space_group_IT_number 123
_space_group_name_Hall '-P 4 2'
loop_
_atom_site_label
_atom_site_type_symbol
_atom_site_fract_x
_atom_site_fract_y
_atom_site_fract_z
V1 V 0.0000 0.0000 0.0000
Sn1 Sn 0.0000 0.5000 0.5000
Hg1 Hg 0.5000 0.5000 0.0000
Sb1 Sb 0.0000 0.0000 0.5000
```


Density functional theory data (GGA-PBE) for a relaxed ZnSn2HgSb crystal.

Summary:
Calculated total energy, eV/cell: -10.1
Formation energy (no corrections), eV per formula unit: 3.630

Cell and atoms, written as CIF:
```
data_ZnSn2HgSb
_cell_length_a 5.6339
_cell_length_b 5.6339
_cell_length_c 5.5686
_cell_angle_alpha 90.00
_cell_angle_beta 90.00
_cell_angle_gamma 90.00
_space_group_name_H-M_alt 'P 4/m m m'
_space_group_IT_number 123
_space_group_name_Hall '-P 4 2'
loop_
_atom_site_label
_atom_site_type_symbol
_atom_site_fract_x
_atom_site_fract_y
_atom_site_fract_z
Zn1 Zn 0.0000 0.0000 0.0000
Sn1 Sn 0.0000 0.5000 0.5000
Hg1 Hg 0.5000 0.5000 0.5000
Sb1 Sb 0.5000 0.5000 0.0000
```